This record from the Alexandria database describes a relaxed structure of Ba4ZrRu3O12. The functional is PBE.

Output
ΔE_f (raw) ... -206 kJ per mole of atoms
SG ... R-3m (166)
Crystal system ... trigonal

Cell: 10.324 10.324 10.324 Å, 33.10 33.10 33.10°
Positions (direct):
Ba  0.287  0.287  0.287
Ba  0.713  0.713  0.713
Ba  0.128  0.128  0.128
Ba  0.872  0.872  0.872
Ru  0.413  0.413  0.413
Ru  0.587  0.587  0.587
Ru  0.500  0.500  0.500
O  0.789  0.299  0.789
O  0.612  0.146  0.612
O  0.789  0.789  0.299
O  0.388  0.388  0.854
O  0.854  0.388  0.388
O  0.146  0.612  0.612
O  0.211  0.701  0.211
O  0.701  0.211  0.211
O  0.299  0.789  0.789
O  0.211  0.211  0.701
O  0.612  0.612  0.146
O  0.388  0.854  0.388
Zr  0.000  0.000  0.000